Below is a relaxed Tb3SmEr6Th2 crystal, with properties calculated at the PBE level.

Output
DOS(E_F) = 1.33 states/eV/atom
Uncorrected energy = -5.04 eV/atom

a b c (Å): 6.154 10.652 11.671
angles (deg): 90.00 100.13 90.00
Space group C2/m (No. 12)
One atom of each set of equivalent atoms:
Tb: 0.000 0.000 0.000 (multiplicity 2)
Tb: 0.000 0.334 0.000 (multiplicity 4)
Sm: 0.000 0.500 0.500 (multiplicity 2)
Er: 0.245 0.000 0.748 (multiplicity 4)
Er: 0.248 0.169 0.252 (multiplicity 8)
Th: 0.000 0.167 0.500 (multiplicity 4)